The following is a PBE-GGA calculation of a relaxed structure of PuZrH4, from Alexandria.

a = 3.4092 Å, b = 3.4092 Å, c = 5.4156 Å
α = 90.00°, β = 90.00°, γ = 90.00°
Fractional coordinates of all 6 atoms:
Pu 0.0000 0.0000 0.0000
Zr 0.5000 0.5000 0.5000
H 0.0000 0.5000 0.2801
H 0.0000 0.5000 0.7199
H 0.5000 0.0000 0.2801
H 0.5000 0.0000 0.7199

## Properties
- magnetic moment (μB per cell) = 5.29
- relative energy among the computed polymorphs (eV per atom) = 0.000
- E (eV per cell) = -39.09


The following is a PBE-GGA calculation of a relaxed structure of KSc3I8, from Alexandria.

a = 8.3907 Å, b = 8.3907 Å, c = 16.9590 Å
α = 90.00°, β = 90.00°, γ = 120.00°
Fractional coordinates of all 24 atoms:
K 0.3333 0.6667 0.0000
K 0.6667 0.3333 0.5000
Sc 0.1709 0.3417 0.7480
Sc 0.1709 0.8291 0.7480
Sc 0.3417 0.1709 0.2480
Sc 0.6583 0.8291 0.7480
Sc 0.8291 0.1709 0.2480
Sc 0.8291 0.6583 0.2480
I 0.0000 0.0000 0.3487
I 0.0000 0.0000 0.8487
I 0.9997 0.4999 0.3484
I 0.0003 0.5001 0.8484
I 0.1621 0.3242 0.1490
I 0.1621 0.8379 0.1490
I 0.3242 0.1621 0.6490
I 0.3333 0.6667 0.6412
I 0.5001 0.0003 0.3484
I 0.4999 0.9997 0.8484
I 0.5001 0.4999 0.3484
I 0.4999 0.5001 0.8484
I 0.6667 0.3333 0.1412
I 0.6758 0.8379 0.1490
I 0.8379 0.1621 0.6490
I 0.8379 0.6758 0.6490

## Properties
- magnetic moment (μB per cell) = 4.12
- uncorrected formation energy (meV per atom) = -1212
- E (eV per cell) = -94.06


What is the magnetic moment in the second record?
4.12 μB per cell


The highest E belongs to which entry?
PuZrH4


What did the first record say?
The following is a PBE-GGA calculation of a relaxed structure of PuZrH4, from Alexandria.

a = 3.4092 Å, b = 3.4092 Å, c = 5.4156 Å
α = 90.00°, β = 90.00°, γ = 90.00°
Fractional coordinates of all 6 atoms:
Pu 0.0000 0.0000 0.0000
Zr 0.5000 0.5000 0.5000
H 0.0000 0.5000 0.2801
H 0.0000 0.5000 0.7199
H 0.5000 0.0000 0.2801
H 0.5000 0.0000 0.7199

## Properties
- magnetic moment (μB per cell) = 5.29
- relative energy among the computed polymorphs (eV per atom) = 0.000
- E (eV per cell) = -39.09